1.
The following is a PBE calculation of crystalline Sm4Dy6Er19 at its relaxed geometry, from Alexandria via LeMat-Bulk.

Summary:
**Calculated density**: 8.3 Mg/m³
**Raw total energy**: -4.200 eV per atom
**Calculated volume**: 32.7 Å³ per atom
**Formation enthalpy at 0 K**: 38 kJ/mol of atoms
**N(E_F)**: 1.483 states/eV/atom

abc: 10.7209 10.7209 10.7208
angles: 109.47 109.47 109.47
With the nearest neighbours (Å) after each atom.
Sites, in units of the cell vectors:
Sm 0.0000 0.0000 0.6413  9 Er 3.30-3.39
Sm 0.0000 0.6413 0.0000  9 Er 3.30-3.39
Sm 0.3587 0.3587 0.3587  9 Er 3.30-3.39
Sm 0.6413 0.0000 0.0000  9 Er 3.30-3.39
Dy 0.3730 0.5000 0.8730  1 Dy 3.14, 4 Er 3.18-3.35
Dy 0.6270 0.5000 0.1270  1 Dy 3.14, 4 Er 3.18-3.35
Dy 0.1270 0.6270 0.5000  1 Dy 3.14, 4 Er 3.18-3.35
Dy 0.8730 0.3730 0.5000  1 Dy 3.14, 4 Er 3.18-3.35
Dy 0.5000 0.8730 0.3730  1 Dy 3.14, 4 Er 3.18-3.35
Dy 0.5000 0.1270 0.6270  1 Dy 3.14, 4 Er 3.18-3.35
Er 0.7389 0.0000 0.7389  5 Er 3.23-3.51, 2 Sm 3.30, 2 Dy 3.35
Er 0.2611 0.0000 0.2611  5 Er 3.23-3.51, 2 Sm 3.30, 2 Dy 3.35
Er 0.2611 0.2611 0.0000  5 Er 3.23-3.51, 2 Sm 3.30, 2 Dy 3.35
Er 0.7389 0.7389 0.0000  5 Er 3.23-3.51, 2 Sm 3.30, 2 Dy 3.35
Er 0.0000 0.7389 0.7389  5 Er 3.23-3.51, 2 Sm 3.30, 2 Dy 3.35
Er 0.0000 0.2611 0.2611  5 Er 3.23-3.51, 2 Sm 3.30, 2 Dy 3.35
Er 0.0000 0.0000 0.0000  6 Er 3.23
Er 0.1998 0.2141 0.5393  1 Dy 3.18, 2 Sm 3.32-3.39, 2 Er 3.35-3.51
Er 0.8002 0.3395 0.0143  1 Dy 3.18, 2 Sm 3.32-3.39, 2 Er 3.35-3.51
Er 0.6748 0.6605 0.4607  1 Dy 3.18, 2 Sm 3.32-3.39, 2 Er 3.35-3.51
Er 0.0143 0.8002 0.3395  1 Dy 3.18, 2 Sm 3.32-3.39, 2 Er 3.35-3.51
Er 0.3252 0.7859 0.9857  1 Dy 3.18, 2 Sm 3.32-3.39, 2 Er 3.35-3.51
Er 0.5393 0.1998 0.2141  1 Dy 3.18, 2 Sm 3.32-3.39, 2 Er 3.35-3.51
Er 0.9857 0.3252 0.7859  1 Dy 3.18, 2 Sm 3.32-3.39, 2 Er 3.35-3.51
Er 0.4607 0.6748 0.6605  1 Dy 3.18, 2 Sm 3.32-3.39, 2 Er 3.35-3.51
Er 0.7859 0.9857 0.3252  1 Dy 3.18, 2 Sm 3.32-3.39, 2 Er 3.35-3.51
Er 0.3395 0.0143 0.8002  1 Dy 3.18, 2 Sm 3.32-3.39, 2 Er 3.35-3.51
Er 0.2141 0.5393 0.1998  1 Dy 3.18, 2 Sm 3.32-3.39, 2 Er 3.35-3.51
Er 0.6605 0.4607 0.6748  1 Dy 3.18, 2 Sm 3.32-3.39, 2 Er 3.35-3.51

2.
The following is a PBE calculation of crystalline ZrHI2Cl at its relaxed geometry, from Alexandria via LeMat-Bulk.

Summary:
**Calculated density**: 5.6 Mg/m³
**Raw total energy**: -3.401 eV per atom
**Calculated volume**: 22.7 Å³ per atom
**N(E_F)**: 0.403 states/eV/atom

abc: 5.4605 3.8044 5.4605
angles: 90.00 90.00 90.00
With the nearest neighbours (Å) after each atom.
Sites, in units of the cell vectors:
I 0.0000 0.0000 0.5000  2 H 2.73
I 0.5000 0.0000 0.0000  2 H 2.73
H 0.0000 0.0000 0.0000  2 Zr 1.90
Zr 0.0000 0.5000 0.0000  2 H 1.90
Cl 0.5000 0.5000 0.5000  8 I 3.33